The following is a DFT calculation (GGA-PBEsol) of a relaxed structure of Ca2H2S2O7.

Summary:
As for the raw total energy: -6.275 eV/atom. The density of states at the Fermi level is 0.0 states/eV/cell.

Cell: 10.711 6.295 9.883 Å, 90.00 90.00 90.00°
Space group Pbcn (No. 60)
Asymmetric unit:
Ca: 0.143 0.026 0.128 (multiplicity 8)
H: 0.049 0.365 0.308 (multiplicity 8)
S: 0.132 0.337 0.880 (multiplicity 8)
O: 0.000 0.265 0.250 (multiplicity 4)
O: 0.048 0.143 0.904 (multiplicity 8)
O: 0.213 0.275 0.758 (multiplicity 8)
O: 0.217 0.332 0.003 (multiplicity 8)


The following is a DFT calculation (GGA-PBEsol) of a relaxed structure of KTbMo2O8.

Summary:
The uncorrected formation energy comes out at -2.46 eV per atom. The density of states at the Fermi level is 0.0 states/eV/cell.

Cell: 10.563 10.254 7.665 Å, 90.00 131.21 90.00°
Space group C2/c (No. 15)
Asymmetric unit:
K: 0.000 0.197 0.250 (multiplicity 4)
Tb: 0.000 0.230 0.750 (multiplicity 4)
Mo: 0.196 0.497 0.242 (multiplicity 8)
O: 0.025 0.392 0.973 (multiplicity 8)
O: 0.125 0.076 0.691 (multiplicity 8)
O: 0.192 0.418 0.440 (multiplicity 8)
O: 0.231 0.158 0.124 (multiplicity 8)